First-principles (PBE with a Hubbard U) data for a relaxed structure of WSeN2F, as listed in the Alexandria database.

Properties
**Crystal system**: tetragonal
**DFT total energy**: -0.344 Ry per atom
**Energy above the most stable polymorph in this dataset**: 0.8175 eV/atom
**Total magnetic moment**: 3.05 Bohr magnetons per cell

Cell: 4.052 4.052 3.909 Å, 90.00 90.00 90.00°
Positions (direct):
W 0.000 0.000 0.000
Se 0.500 0.500 0.500
N 0.000 0.500 0.500
N 0.500 0.000 0.500
F 0.500 0.500 0.000